[1]
Compound: FeTeMoH
Source: Alexandria via LeMat-Bulk
Functional: GGA-PBE
Structure: optimized geometry

```
FeTeMoH
1.0
4.913 0.000 -0.174
0.000 3.640 0.000
-2.834 0.000 6.672
Fe Mo H Te
2 2 2 2
direct
0.314 0.500 0.355
0.314 0.000 0.855
0.014 0.500 0.561
0.014 0.000 0.061
0.999 0.000 0.639
0.999 0.500 0.139
0.627 0.000 0.257
0.627 0.500 0.757
```

- Offset from the most stable computed form: 127 meV per atom
- Space-group type: No. 8

=====

[2]
Compound: Sr2HoF8
Source: Alexandria via LeMat-Bulk
Functional: GGA-PBE
Structure: optimized geometry

```
Sr2HoF8
1.0
4.041 0.000 0.000
0.000 5.742 -0.075
-2.021 -2.549 6.722
F Sr Ho
8 2 1
direct
0.651 0.963 0.302
0.224 0.314 0.447
0.349 0.037 0.698
0.776 0.686 0.553
0.596 0.410 0.191
0.018 0.806 0.037
0.404 0.590 0.809
0.982 0.194 0.963
0.170 0.683 0.339
0.830 0.317 0.661
0.500 0.000 0.000
```

- Formation energy from raw total energies: -347.85 kJ/mol of atoms
- Space-group type: No. 12

=====

[3]
Compound: Ti2GaSi
Source: Alexandria via LeMat-Bulk
Functional: GGA-PBE
Structure: optimized geometry

```
Ti2GaSi
1.0
4.132 0.000 0.000
2.066 3.579 0.000
2.066 1.193 4.325
Si Ti Ga
1 2 1
direct
0.500 0.500 0.500
0.247 0.247 0.259
0.753 0.753 0.741
0.000 0.000 0.000
```

- Formation energy from raw total energies: -36.72 kJ/mol of atoms
- Space-group type: No. 166

=====

[4]
Compound: InHg2Sb
Source: Alexandria via LeMat-Bulk
Functional: GGA-PBE
Structure: optimized geometry

```
InHg2Sb
1.0
-0.697 4.381 1.684
-4.396 1.766 0.271
-2.244 -0.157 6.163
Hg Sb In
2 1 1
direct
0.258 0.258 0.226
0.080 0.080 0.760
0.670 0.670 0.990
0.492 0.492 0.525
```

- Formation energy from raw total energies: 7.55 kJ/mol of atoms
- Space-group type: No. 160